This record from Alexandria describes crystalline CrIn2Au at its relaxed geometry. The functional is PBE-GGA.

For the volume, the calculation gives 20.02 Å³/atom. The calculation puts the electronic total energy at -4.434 eV/atom. The value obtained for the energy above the most stable polymorph in this dataset is 45 meV/atom. The value obtained for the energy relative to the elements is 0.161 eV per atom.

The space group is I4/mmm (No. 139) and the conventional cell measures 4.450, 4.450 and 8.089 Å, with angles of 90.00, 90.00 and 90.00 degrees. The inequivalent atoms are Cr at (0.000, 0.000, 0.000), In at (0.000, 0.500, 0.250) and Au at (0.000, 0.000, 0.500).

This record from Alexandria describes crystalline NaZrPO2 at its relaxed geometry. The functional is PBE-GGA.

For the volume, the calculation gives 18.78 Å³/atom. The calculation puts the electronic total energy at -6.448 eV/atom. The value obtained for the energy above the most stable polymorph in this dataset is 0 meV/atom. The value obtained for the energy relative to the elements, uncorrected is -1.410 eV per atom.

The space group is P4/mmm (No. 123) and the conventional cell measures 4.163, 4.163 and 5.417 Å, with angles of 90.00, 90.00 and 90.00 degrees. The inequivalent atoms are Na at (0.000, 0.000, 0.000), Zr at (0.500, 0.500, 0.500), P at (0.500, 0.500, 0.000) and O at (0.000, 0.500, 0.500).

Among the records above, which one has the lowest volume?
NaZrPO2

What did the first record say?
This record from Alexandria describes crystalline CrIn2Au at its relaxed geometry. The functional is PBE-GGA.

For the volume, the calculation gives 20.02 Å³/atom. The calculation puts the electronic total energy at -4.434 eV/atom. The value obtained for the energy above the most stable polymorph in this dataset is 45 meV/atom. The value obtained for the energy relative to the elements is 0.161 eV per atom.

The space group is I4/mmm (No. 139) and the conventional cell measures 4.450, 4.450 and 8.089 Å, with angles of 90.00, 90.00 and 90.00 degrees. The inequivalent atoms are Cr at (0.000, 0.000, 0.000), In at (0.000, 0.500, 0.250) and Au at (0.000, 0.000, 0.500).

Which of these has the lowest electronic total energy?
NaZrPO2

electronic total energy of number 2 (NaZrPO2)?
-6.448 eV/atom